5
Lattice="4.634 0.000 0.000 0.000 4.634 0.000 0.000 0.000 5.810" Properties=species:S:1:pos:R:3 comment="ScCo2SbPb (GGA-PBE, relaxed)" e_form_raw_ev_per_atom=0.808 energy_ev_per_cell=-24.3 spacegroup="P4/mmm (123)" pbc="T T T"
Sc 0.000 0.000 0.000
Co 0.000 2.317 2.905
Co 2.317 0.000 2.905
Sb 2.317 2.317 2.905
Pb 2.317 2.317 0.000

=====

5
Lattice="5.006 0.000 0.000 0.000 5.006 0.000 0.000 0.000 4.841" Properties=species:S:1:pos:R:3 comment="TaCoSbPb2 (GGA-PBE, relaxed)" e_form_raw_ev_per_atom=0.615 energy_ev_per_cell=-27.4 spacegroup="P4/mmm (123)" pbc="T T T"
Ta 0.000 0.000 0.000
Co 0.000 0.000 2.421
Sb 2.503 2.503 0.000
Pb 0.000 2.503 2.421
Pb 2.503 0.000 2.421

=====

5
Lattice="4.838 0.000 0.000 0.000 4.838 0.000 0.000 0.000 5.497" Properties=species:S:1:pos:R:3 comment="CoSb2TePb (GGA-PBE, relaxed)" e_form_raw_ev_per_atom=0.227 energy_ev_per_cell=-21.1 relative_energy_ev_per_atom=0.000 spacegroup="P4/mmm (123)" pbc="T T T"
Co 0.000 0.000 0.000
Sb 0.000 2.419 0.000
Sb 2.419 0.000 0.000
Te 0.000 0.000 2.748
Pb 2.419 2.419 2.748

=====

5
Lattice="5.561 0.000 0.000 0.000 5.561 0.000 0.000 0.000 5.581" Properties=species:S:1:pos:R:3 comment="CoSb2TePb (GGA-PBE, relaxed)" e_form_raw_ev_per_atom=1.522 energy_ev_per_cell=-14.6 relative_energy_ev_per_atom=1.295 spacegroup="P4/mmm (123)" pbc="T T T"
Co 0.000 0.000 0.000
Sb 0.000 2.780 2.791
Sb 2.780 0.000 2.791
Te 2.780 2.780 0.000
Pb 2.780 2.780 2.791

=====

5
Lattice="5.707 0.000 0.000 0.000 5.707 0.000 0.000 0.000 5.916" Properties=species:S:1:pos:R:3 comment="CoSb2TePb (GGA-PBE, relaxed)" e_form_raw_ev_per_atom=1.349 energy_ev_per_cell=-15.5 relative_energy_ev_per_atom=1.122 spacegroup="P4/mmm (123)" pbc="T T T"
Co 0.000 0.000 0.000
Sb 0.000 2.854 2.958
Sb 2.854 0.000 2.958
Te 2.854 2.854 2.958
Pb 2.854 2.854 0.000

=====

5
Lattice="4.882 0.000 0.000 0.000 4.882 0.000 0.000 0.000 5.894" Properties=species:S:1:pos:R:3 comment="ZnCo2SbPb (GGA-PBE, relaxed)" e_form_raw_ev_per_atom=1.420 energy_ev_per_cell=-16.2 spacegroup="P4/mmm (123)" pbc="T T T"
Zn 0.000 0.000 0.000
Co 0.000 2.441 2.947
Co 2.441 0.000 2.947
Sb 2.441 2.441 0.000
Pb 2.441 2.441 2.947

=====

8
Lattice="4.709 0.000 0.000 0.000 4.718 0.000 0.000 0.000 7.455" Properties=species:S:1:pos:R:3 comment="ScCoPb2 (GGA-PBE, relaxed)" formation_energy_ev_per_atom=0.1403 energy_ev_per_cell=-40.6 relative_energy_ev_per_atom=0.166 spacegroup="Cmmm (65)" pbc="T T T"
Sc 0.000 0.000 0.000
Sc 2.355 2.359 0.000
Co 0.000 0.000 3.727
Co 2.355 2.359 3.727
Pb 0.000 2.359 2.112
Pb 0.000 2.359 5.343
Pb 2.355 0.000 2.112
Pb 2.355 0.000 5.343

=====

10
Lattice="7.013 0.000 0.000 0.000 7.013 0.000 0.000 0.000 4.486" Properties=species:S:1:pos:R:3 comment="Sc2CoPb2 (GGA-PBE, relaxed)" formation_energy_ev_per_atom=-0.0752 energy_ev_per_cell=-55.1 relative_energy_ev_per_atom=0.000 spacegroup="P4/mbm (127)" pbc="T T T"
Sc 1.145 2.361 0.000
Sc 2.361 5.868 0.000
Sc 4.652 1.145 0.000
Sc 5.868 4.652 0.000
Co 0.000 0.000 2.243
Co 3.507 3.507 2.243
Pb 1.067 4.573 2.243
Pb 2.440 1.067 2.243
Pb 4.573 5.947 2.243
Pb 5.947 2.440 2.243

=====

12
Lattice="6.509 0.000 0.000 0.000 6.509 0.000 0.000 0.000 6.509" Properties=species:S:1:pos:R:3 comment="ScCoPb (GGA-PBE, relaxed)" formation_energy_ev_per_atom=0.4591 energy_ev_per_cell=-63.1 spacegroup="F-43m (216)" pbc="T T T"
Sc 0.000 0.000 0.000
Sc 0.000 3.255 3.255
Sc 3.255 0.000 3.255
Sc 3.255 3.255 0.000
Co 1.627 1.627 4.882
Co 1.627 4.882 1.627
Co 4.882 1.627 1.627
Co 4.882 4.882 4.882
Pb 1.627 1.627 1.627
Pb 1.627 4.882 4.882
Pb 4.882 1.627 4.882
Pb 4.882 4.882 1.627

=====

10
Lattice="6.750 0.000 0.000 0.000 6.750 0.000 0.000 0.000 5.015" Properties=species:S:1:pos:R:3 comment="Sc2CoPb2 (GGA-PBE, relaxed)" formation_energy_ev_per_atom=0.0162 energy_ev_per_cell=-54.2 relative_energy_ev_per_atom=0.091 spacegroup="P4/mbm (127)" pbc="T T T"
Sc 1.123 2.252 0.000
Sc 2.252 5.627 0.000
Sc 4.497 1.123 0.000
Sc 5.627 4.497 0.000
Co 0.000 0.000 0.000
Co 3.375 3.375 0.000
Pb 1.122 4.496 2.508
Pb 2.253 1.122 2.508
Pb 4.496 5.628 2.508
Pb 5.628 2.253 2.508

=====

3
Lattice="4.492 0.000 0.000 -2.246 3.891 0.000 0.000 0.000 3.288" Properties=species:S:1:pos:R:3 comment="ScCoPb (GGA-PBE, relaxed)" formation_energy_ev_per_atom=-0.0805 energy_ev_per_cell=-17.4 spacegroup="P-6m2 (187)" pbc="T T T"
Sc 0.000 0.000 0.000
Co 2.246 1.297 1.644
Pb 0.000 2.594 1.644

=====

18
Lattice="-4.431 4.508 4.643 4.431 -4.508 4.643 4.431 4.508 -4.643" Properties=species:S:1:pos:R:3 comment="Sc6Co2Pb (GGA-PBE, relaxed)" formation_energy_ev_per_atom=-0.3370 energy_ev_per_cell=-117.9 spacegroup="Immm (71)" pbc="T T T"
Sc 4.431 2.529 -2.448
Sc 2.524 1.698 0.000
Sc 6.339 1.698 0.000
Sc 1.714 4.508 -1.643
Sc 2.718 0.000 3.000
Sc 0.000 1.979 2.195
Sc 4.431 2.529 2.448
Sc 1.714 4.508 1.643
Sc 2.718 0.000 6.286
Sc -1.908 2.811 4.643
Sc 1.908 2.811 4.643
Sc 0.000 1.979 7.091
Co 4.431 0.000 1.115
Co 0.000 3.154 0.000
Co 0.000 5.863 0.000
Co 0.000 4.508 3.527
Pb 0.000 0.000 0.000
Pb 0.000 0.000 4.643

=====

6
Lattice="0.000 3.490 3.490 3.490 0.000 3.490 3.490 3.490 0.000" Properties=species:S:1:pos:R:3 comment="ScCo4Pb (GGA-PBE, relaxed)" formation_energy_ev_per_atom=-0.0401 energy_ev_per_cell=-38.7 spacegroup="F-43m (216)" pbc="T T T"
Sc 0.000 0.000 0.000
Co 4.365 2.614 2.614
Co 2.614 4.365 2.614
Co 2.614 2.614 4.365
Co 4.365 4.365 4.365
Pb 1.745 1.745 1.745

=====

10
Lattice="3.152 0.000 0.000 0.000 3.152 0.000 0.000 0.000 17.307" Properties=species:S:1:pos:R:3 comment="Sc5Co4Pb (GGA-PBE, relaxed)" formation_energy_ev_per_atom=-0.3430 energy_ev_per_cell=-67.2 spacegroup="P4/mmm (123)" pbc="T T T"
Sc 0.000 0.000 0.000
Sc 0.000 0.000 3.110
Sc 0.000 0.000 6.222
Sc 0.000 0.000 11.084
Sc 0.000 0.000 14.196
Co 1.576 1.576 1.551
Co 1.576 1.576 4.720
Co 1.576 1.576 12.587
Co 1.576 1.576 15.756
Pb 1.576 1.576 8.653

=====

6
Lattice="0.000 4.060 4.060 4.060 0.000 4.060 4.060 4.060 0.000" Properties=species:S:1:pos:R:3 comment="Sc4CoPb (GGA-PBE, relaxed)" formation_energy_ev_per_atom=0.4261 energy_ev_per_cell=-33.6 relative_energy_ev_per_atom=0.756 spacegroup="F-43m (216)" pbc="T T T"
Sc 1.008 1.008 1.008
Sc 3.051 3.051 1.008
Sc 3.051 1.008 3.051
Sc 1.008 3.051 3.051
Co 6.089 6.089 6.089
Pb 4.060 4.060 4.060

=====

4
Lattice="3.289 0.000 0.000 0.000 3.289 0.000 0.000 0.000 8.567" Properties=species:S:1:pos:R:3 comment="ScCoPb2 (GGA-PBE, relaxed)" formation_energy_ev_per_atom=-0.0260 energy_ev_per_cell=-21.0 relative_energy_ev_per_atom=0.000 spacegroup="P4mm (99)" pbc="T T T"
Sc 0.000 0.000 0.000
Co 1.644 1.644 1.278
Pb 0.000 0.000 3.120
Pb 1.644 1.644 6.201

=====

8
Lattice="8.304 0.000 0.000 0.000 3.562 0.000 -1.535 0.000 5.896" Properties=species:S:1:pos:R:3 comment="ScCoPb2 (GGA-PBE, relaxed)" formation_energy_ev_per_atom=0.1446 energy_ev_per_cell=-40.6 relative_energy_ev_per_atom=0.171 spacegroup="C2/m (12)" pbc="T T T"
Sc 0.000 0.000 0.000
Sc 4.152 1.781 0.000
Co -0.767 1.781 2.948
Co 3.385 0.000 2.948
Pb 0.850 0.000 4.182
Pb 1.768 1.781 1.714
Pb 5.002 1.781 4.182
Pb 5.920 0.000 1.714

=====

12
Lattice="3.379 0.000 0.000 -1.689 2.926 0.000 0.000 0.000 28.582" Properties=species:S:1:pos:R:3 comment="ScCoPb2 (GGA-PBE, relaxed)" formation_energy_ev_per_atom=0.1115 energy_ev_per_cell=-61.2 relative_energy_ev_per_atom=0.137 spacegroup="R3m (160)" pbc="T T T"
Sc 0.000 0.000 0.000
Sc 0.000 1.951 19.055
Sc 1.689 0.975 9.527
Co 0.000 0.000 7.854
Co 0.000 1.951 26.908
Co 1.689 0.975 17.381
Pb 0.000 0.000 15.423
Pb 0.000 0.000 21.804
Pb 0.000 1.951 5.895
Pb 0.000 1.951 12.277
Pb 1.689 0.975 2.749
Pb 1.689 0.975 24.950

=====

16
Lattice="4.186 0.000 0.000 0.000 4.186 0.000 0.000 0.000 17.413" Properties=species:S:1:pos:R:3 comment="ScCo2Pb (GGA-PBE, relaxed)" formation_energy_ev_per_atom=0.4564 energy_ev_per_cell=-89.7 spacegroup="I-42d (122)" pbc="T T T"
Sc 0.000 0.000 0.000
Sc 0.000 2.093 4.353
Sc 2.093 0.000 13.060
Sc 2.093 2.093 8.706
Co 0.667 1.046 2.177
Co 1.046 2.760 6.530
Co 1.046 3.518 15.236
Co 1.425 1.046 10.883
Co 2.760 3.139 10.883
Co 3.139 0.667 15.236
Co 3.139 1.425 6.530
Co 3.518 3.139 2.177
Pb 0.000 0.000 8.706
Pb 0.000 2.093 13.060
Pb 2.093 0.000 4.353
Pb 2.093 2.093 0.000

=====

12
Lattice="3.193 0.000 0.000 -1.596 2.765 0.000 0.000 0.000 24.013" Properties=species:S:1:pos:R:3 comment="ScCo2Pb (GGA-PBE, relaxed)" formation_energy_ev_per_atom=0.3757 energy_ev_per_cell=-68.2 spacegroup="R-3m (166)" pbc="T T T"
Sc 0.000 0.000 0.000
Sc 0.000 1.843 16.008
Sc 1.596 0.922 8.004
Co 0.000 0.000 6.061
Co 0.000 0.000 17.952
Co 0.000 1.843 9.947
Co 0.000 1.843 22.070
Co 1.596 0.922 1.943
Co 1.596 0.922 14.065
Pb 0.000 0.000 12.006
Pb 0.000 1.843 4.002
Pb 1.596 0.922 20.011